Record 1
An optimized crystal structure of BeCuRu4. Source: Alexandria via LeMat-Bulk, functional PBE-GGA.

Cell and atoms, written as POSCAR:
```
BeCuRu4
1.0
0.0000 3.5499 3.5499
3.5499 0.0000 3.5499
3.5499 3.5499 0.0000
Be Cu Ru
1 1 4
Direct
0.2500 0.2500 0.2500
0.0000 0.0000 0.0000
0.6249 0.6249 0.1252
0.6249 0.1252 0.6249
0.6249 0.6249 0.6249
0.1252 0.6249 0.6249
```

## Properties
Space group = F-43m


Record 2
An optimized crystal structure of BeCuRu. Source: Alexandria via LeMat-Bulk, functional PBE-GGA.

Cell and atoms, written as POSCAR:
```
BeCuRu
1.0
-1.1455 0.0977 -4.8521
-0.6750 -2.5052 -4.2578
-2.6587 -0.5111 -0.1404
Ru Cu Be
1 1 1
Direct
0.6514 0.6514 0.3486
0.3510 0.3510 0.6490
0.9976 0.9976 0.0024
```

## Properties
Space group = I4mm


Record 3
An optimized crystal structure of BeCu3Ru. Source: Alexandria via LeMat-Bulk, functional PBE-GGA.

Cell and atoms, written as POSCAR:
```
BeCu3Ru
1.0
-0.6373 -4.5181 0.6123
1.1100 -0.7534 -4.4040
4.4222 -0.4621 1.1936
Ru Cu Be
1 3 1
Direct
0.0000 0.0000 0.0000
0.0000 0.5000 0.0000
0.0000 0.0000 0.5000
0.5000 0.0000 0.0000
0.5000 0.5000 0.5000
```

## Properties
Space group = Pm-3m


Record 4
An optimized crystal structure of Be17CuRu. Source: Alexandria via LeMat-Bulk, functional PBE-GGA.

Cell and atoms, written as POSCAR:
```
Be17CuRu
1.0
5.4478 0.0735 0.7249
0.6444 5.4100 0.7249
0.0817 0.0735 5.4952
Be Cu Ru
17 1 1
Direct
0.3078 0.9999 0.6869
0.6869 0.3078 0.9999
0.9999 0.6869 0.3078
0.3078 0.6869 0.9999
0.9999 0.3078 0.6869
0.6869 0.9999 0.3078
0.3461 0.8268 0.3461
0.3461 0.3461 0.8268
0.8268 0.3461 0.3461
0.6566 0.1555 0.6566
0.6566 0.6566 0.1555
0.1555 0.6566 0.6566
0.9908 0.5002 0.9908
0.9908 0.9908 0.5002
0.5002 0.9908 0.9908
0.8978 0.8978 0.8978
0.0979 0.0979 0.0979
0.3723 0.3723 0.3723
0.6733 0.6733 0.6733
```

## Properties
Space group = R3m


Record 5
An optimized crystal structure of Be16CuRu2. Source: Alexandria via LeMat-Bulk, functional PBE-GGA.

Cell and atoms, written as POSCAR:
```
Be16CuRu2
1.0
0.3107 -4.3875 3.2916
5.1395 -1.4674 -1.2703
2.4986 2.4680 4.2246
Be Cu Ru
16 1 2
Direct
0.6928 0.9996 0.3082
0.9996 0.3082 0.6928
0.3082 0.6928 0.9996
0.9996 0.6928 0.3082
0.6928 0.3082 0.9996
0.3082 0.9996 0.6928
0.3490 0.8403 0.3490
0.8403 0.3490 0.3490
0.3490 0.3490 0.8403
0.6484 0.1655 0.6484
0.1655 0.6484 0.6484
0.6484 0.6484 0.1655
0.0016 0.4977 0.0016
0.4977 0.0016 0.0016
0.0016 0.0016 0.4977
0.1080 0.1080 0.1080
0.9052 0.9052 0.9052
0.6500 0.6500 0.6500
0.3342 0.3342 0.3342
```

## Properties
Space group = R3m


Record 6
An optimized crystal structure of BeCuRu. Source: Alexandria via LeMat-Bulk, functional PBE-GGA.

Cell and atoms, written as POSCAR:
```
BeCuRu
1.0
-1.8912 1.4494 -1.1500
0.3971 -1.2882 -2.2765
-6.1182 -6.9188 4.3851
Cu Be Ru
2 2 2
Direct
0.2942 0.2942 0.5885
0.7058 0.7058 0.4115
0.1341 0.1341 0.2681
0.8659 0.8659 0.7319
0.5592 0.5592 0.1183
0.4408 0.4408 0.8817
```

## Properties
Space group = I4/mmm


Calculated calculated formation energy in order - 0.7653; -0.0061; 1.6390; -0.0949; -0.1958; 0.0940 eV per atom